Record 1
{"formula": "Be2AlB", "functional": "GGA-PBE", "state": "relaxed", "e_form_ev_per_atom": 0.1249, "polymorph_energy_mev_per_atom": 103.3, "total_magnetization_mub_per_cell": 0.0, "n_ef_per_ev_cell": 0.91, "lattice_angstrom": [[3.304, 0.000, 0.034], [1.651, 2.862, 0.012], [1.610, 0.963, 4.161]], "species": ["Be", "Be", "B", "Al"], "frac_coords": [[0.320, 0.919, 0.947], [0.061, 0.661, 0.720], [0.701, 0.300, 0.803], [0.520, 0.118, 0.346]]}



Record 2
{"formula": "MgTa4Rh5", "functional": "GGA-PBE", "state": "relaxed", "e_form_ev_per_atom": -0.5038, "total_magnetization_mub_per_cell": 0.0, "n_ef_per_ev_cell": 7.48, "lattice_angstrom": [[2.936, 0.000, 0.000], [0.000, 2.936, 0.000], [0.000, 0.000, 18.404]], "species": ["Mg", "Ta", "Ta", "Ta", "Ta", "Rh", "Rh", "Rh", "Rh", "Rh"], "frac_coords": [[0.000, 0.000, 0.000], [0.000, 0.000, 0.192], [0.000, 0.000, 0.398], [0.000, 0.000, 0.602], [0.000, 0.000, 0.808], [0.500, 0.500, 0.098], [0.500, 0.500, 0.294], [0.500, 0.500, 0.500], [0.500, 0.500, 0.706], [0.500, 0.500, 0.902]]}



Record 3
{"formula": "LaDyHo2", "functional": "GGA-PBE", "state": "relaxed", "e_form_ev_per_atom": 0.0224, "polymorph_energy_mev_per_atom": 12.2, "total_magnetization_mub_per_cell": 0.0, "n_ef_per_ev_cell": 5.40, "lattice_angstrom": [[3.589, 0.000, 0.000], [1.794, 3.108, 0.000], [1.794, 1.036, 11.643]], "species": ["La", "Ho", "Ho", "Dy"], "frac_coords": [[0.000, 0.000, 0.000], [0.752, 0.752, 0.744], [0.248, 0.248, 0.256], [0.500, 0.500, 0.500]]}



Record 4
{"formula": "GdIn2Sb", "functional": "GGA-PBE", "state": "relaxed", "raw_formation_energy_ev_per_atom": 0.154, "polymorph_energy_mev_per_atom": 637.6, "total_magnetization_mub_per_cell": 7.6, "n_ef_per_ev_cell": 4.80, "lattice_angstrom": [[-3.309, 0.685, 1.000], [-0.803, 0.185, 3.426], [0.906, 11.384, 1.411]], "species": ["Sb", "Gd", "In", "In"], "frac_coords": [[0.500, 0.500, 0.500], [0.000, 0.000, 0.000], [0.093, 0.093, 0.721], [0.907, 0.907, 0.279]]}



Record 5
{"formula": "MgTlGa", "functional": "GGA-PBE", "state": "relaxed", "e_form_ev_per_atom": 0.0430, "total_magnetization_mub_per_cell": 0.0, "n_ef_per_ev_cell": 2.42, "lattice_angstrom": [[-4.636, -0.416, 3.391], [1.159, -4.642, -2.456], [3.029, -3.933, 2.801]], "species": ["Mg", "Mg", "Tl", "Tl", "Ga", "Ga"], "frac_coords": [[0.463, 0.302, 0.442], [0.028, 0.609, 0.024], [0.972, 0.280, 0.667], [0.518, 0.631, 0.800], [0.504, 0.968, 0.159], [0.986, 0.942, 0.308]]}



Record 6
{"formula": "NdSm3S", "functional": "GGA-PBE", "state": "relaxed", "raw_formation_energy_ev_per_atom": -0.676, "total_magnetization_mub_per_cell": 0.0, "n_ef_per_ev_cell": 6.66, "lattice_angstrom": [[5.452, 0.000, 0.000], [0.000, 5.452, 0.000], [0.000, 0.000, 5.452]], "species": ["S", "Nd", "Sm", "Sm", "Sm"], "frac_coords": [[0.000, 0.000, 0.000], [0.500, 0.500, 0.500], [0.000, 0.500, 0.000], [0.000, 0.000, 0.500], [0.500, 0.000, 0.000]]}



Record 7
{"formula": "TaCrRe", "functional": "GGA-PBE", "state": "relaxed", "e_form_ev_per_atom": -0.1250, "polymorph_energy_mev_per_atom": 5.2, "total_magnetization_mub_per_cell": 0.0, "n_ef_per_ev_cell": 1.78, "lattice_angstrom": [[-2.476, -2.835, 3.519], [1.753, -3.846, 2.949], [0.917, 4.785, -1.680]], "species": ["Cr", "Re", "Ta"], "frac_coords": [[0.997, 0.997, 0.000], [0.340, 0.340, 0.000], [0.663, 0.663, 0.000]]}



Record 8
{"formula": "TiGeS2Cl", "functional": "GGA-PBE", "state": "relaxed", "raw_formation_energy_ev_per_atom": -0.474, "polymorph_energy_mev_per_atom": 0.0, "total_magnetization_mub_per_cell": 0.0, "n_ef_per_ev_cell": 3.53, "lattice_angstrom": [[4.777, 0.000, 0.000], [0.000, 4.777, 0.000], [0.000, 0.000, 4.658]], "species": ["Ge", "Cl", "S", "S", "Ti"], "frac_coords": [[0.500, 0.500, 0.500], [0.000, 0.000, 0.500], [0.000, 0.500, 0.000], [0.500, 0.000, 0.000], [0.000, 0.000, 0.000]]}



Record 9
{"formula": "YHoSiSe", "functional": "GGA-PBE", "state": "relaxed", "raw_formation_energy_ev_per_atom": -1.308, "total_magnetization_mub_per_cell": 0.0, "n_ef_per_ev_cell": 1.18, "lattice_angstrom": [[-1.509, -2.427, 2.932], [2.510, -2.422, 2.145], [1.219, 3.337, 6.248]], "species": ["Y", "Ho", "Si", "Se"], "frac_coords": [[0.939, 0.939, 0.182], [0.449, 0.449, 0.654], [0.194, 0.194, 0.419], [0.695, 0.695, 0.916]]}



Record 10
{"formula": "Mg3Sc", "functional": "GGA-PBE", "state": "relaxed", "e_form_ev_per_atom": -0.0259, "total_magnetization_mub_per_cell": 0.3, "n_ef_per_ev_cell": 3.83, "lattice_angstrom": [[3.278, 0.000, 0.000], [0.000, 3.278, 0.000], [0.000, 0.000, 8.601]], "species": ["Sc", "Mg", "Mg", "Mg"], "frac_coords": [[0.500, 0.500, 0.250], [0.000, 0.000, 0.995], [0.500, 0.500, 0.750], [0.000, 0.000, 0.505]]}



Record 11
{"formula": "ZrAgF2", "functional": "GGA-PBE", "state": "relaxed", "raw_formation_energy_ev_per_atom": -1.859, "polymorph_energy_mev_per_atom": 0.0, "total_magnetization_mub_per_cell": 0.0, "n_ef_per_ev_cell": 0.93, "lattice_angstrom": [[-6.940, -3.933, 3.611], [-4.877, -5.812, 4.371], [-5.364, -3.466, 5.991]], "species": ["Zr", "Ag", "F", "F"], "frac_coords": [[0.500, 0.500, 0.500], [0.000, 0.000, 0.000], [0.892, 0.892, 0.892], [0.108, 0.108, 0.108]]}



Record 12
{"formula": "BaInSe2", "functional": "GGA-PBE", "state": "relaxed", "raw_formation_energy_ev_per_atom": -0.570, "total_magnetization_mub_per_cell": 0.0, "n_ef_per_ev_cell": 3.32, "lattice_angstrom": [[-4.645, -2.261, -1.872], [-0.141, -2.233, -5.019], [-0.365, -5.453, -0.572]], "species": ["Ba", "In", "Se", "Se"], "frac_coords": [[0.500, 0.500, 0.500], [0.750, 0.750, 0.750], [0.000, 0.000, 0.000], [0.250, 0.250, 0.250]]}



Record 13
{"formula": "Ca2YP", "functional": "GGA-PBE", "state": "relaxed", "e_form_ev_per_atom": -0.3080, "total_magnetization_mub_per_cell": 0.0, "n_ef_per_ev_cell": 2.20, "lattice_angstrom": [[-4.414, -4.414, -1.745], [1.532, -5.621, -2.839], [1.679, 3.684, 5.061]], "species": ["Ca", "Ca", "P", "Y"], "frac_coords": [[0.000, 0.000, 0.000], [0.500, 0.500, 0.000], [0.250, 0.750, 0.500], [0.750, 0.250, 0.500]]}



Record 14
{"formula": "Sr3Tl3Pt", "functional": "GGA-PBE", "state": "relaxed", "e_form_ev_per_atom": -0.4887, "total_magnetization_mub_per_cell": 0.0, "n_ef_per_ev_cell": 7.85, "lattice_angstrom": [[-0.156, -0.638, 4.232], [1.537, -6.283, 1.276], [16.531, 2.459, 3.149]], "species": ["Sr", "Sr", "Sr", "Sr", "Sr", "Sr", "Tl", "Tl", "Tl", "Tl", "Tl", "Tl", "Pt", "Pt"], "frac_coords": [[0.521, 0.346, 0.611], [0.479, 0.654, 0.389], [0.265, 0.224, 0.245], [0.735, 0.776, 0.755], [0.387, 0.305, 0.922], [0.613, 0.695, 0.078], [0.833, 0.795, 0.540], [0.167, 0.205, 0.460], [0.113, 0.855, 0.920], [0.887, 0.145, 0.080], [0.990, 0.787, 0.233], [0.010, 0.213, 0.767], [0.798, 0.033, 0.371], [0.202, 0.967, 0.629]]}



Record 15
{"formula": "DyY6Er5", "functional": "GGA-PBE", "state": "relaxed", "e_form_ev_per_atom": 0.0252, "total_magnetization_mub_per_cell": 0.0, "n_ef_per_ev_cell": 17.72, "lattice_angstrom": [[-5.999, 7.369, -6.906], [-3.713, -3.982, -2.834], [-5.474, -1.345, 2.415]], "species": ["Dy", "Y", "Y", "Y", "Y", "Y", "Y", "Er", "Er", "Er", "Er", "Er"], "frac_coords": [[0.000, 0.000, 0.000], [0.750, 0.083, 0.334], [0.250, 0.583, 0.334], [0.250, 0.250, 0.000], [0.750, 0.750, 0.000], [0.750, 0.417, 0.666], [0.250, 0.917, 0.666], [0.500, 0.167, 0.667], [0.000, 0.333, 0.333], [0.500, 0.500, 0.000], [0.000, 0.667, 0.667], [0.500, 0.833, 0.333]]}



Record 16
{"formula": "UFeGeN", "functional": "GGA-PBE", "state": "relaxed", "raw_formation_energy_ev_per_atom": -0.731, "total_magnetization_mub_per_cell": 6.1, "n_ef_per_ev_cell": 10.39, "lattice_angstrom": [[3.816, 0.000, 0.000], [0.000, 3.816, 0.000], [0.000, 0.000, 8.368]], "species": ["U", "U", "Fe", "Fe", "Ge", "Ge", "N", "N"], "frac_coords": [[0.500, 0.000, 0.640], [0.000, 0.500, 0.360], [0.500, 0.500, 0.000], [0.000, 0.000, 0.000], [0.000, 0.500, 0.820], [0.500, 0.000, 0.180], [0.000, 0.000, 0.500], [0.500, 0.500, 0.500]]}



Record 17
{"formula": "Ho4AgBi2", "functional": "GGA-PBE", "state": "relaxed", "e_form_ev_per_atom": -0.3667, "total_magnetization_mub_per_cell": 0.0, "n_ef_per_ev_cell": 13.91, "lattice_angstrom": [[7.365, 0.000, -0.191], [0.000, 6.480, 0.000], [-2.939, 0.000, 8.625]], "species": ["Ho", "Ho", "Ho", "Ho", "Ho", "Ho", "Ho", "Ho", "Ag", "Ag", "Bi", "Bi", "Bi", "Bi"], "frac_coords": [[0.537, 0.498, 0.225], [0.067, 0.750, 0.848], [0.933, 0.250, 0.152], [0.537, 0.002, 0.225], [0.948, 0.250, 0.553], [0.463, 0.998, 0.775], [0.463, 0.502, 0.775], [0.052, 0.750, 0.447], [0.200, 0.750, 0.191], [0.800, 0.250, 0.809], [0.780, 0.750, 0.059], [0.220, 0.250, 0.941], [0.318, 0.250, 0.443], [0.682, 0.750, 0.557]]}



Record 18
{"formula": "AgP2RhO", "functional": "GGA-PBE", "state": "relaxed", "raw_formation_energy_ev_per_atom": 0.346, "polymorph_energy_mev_per_atom": 0.0, "total_magnetization_mub_per_cell": 0.0, "n_ef_per_ev_cell": 3.43, "lattice_angstrom": [[4.836, 0.000, 0.000], [0.000, 4.836, 0.000], [0.000, 0.000, 3.674]], "species": ["P", "P", "Rh", "O", "Ag"], "frac_coords": [[0.000, 0.500, 0.000], [0.500, 0.000, 0.000], [0.000, 0.000, 0.000], [0.000, 0.000, 0.500], [0.500, 0.500, 0.500]]}



Record 19
{"formula": "LuPaRh4", "functional": "GGA-PBE", "state": "relaxed", "e_form_ev_per_atom": -0.7025, "total_magnetization_mub_per_cell": 0.0, "n_ef_per_ev_cell": 6.41, "lattice_angstrom": [[5.309, 0.000, 0.000], [2.655, 4.598, 0.000], [2.655, 1.533, 4.335]], "species": ["Rh", "Rh", "Rh", "Rh", "Pa", "Lu"], "frac_coords": [[0.625, 0.625, 0.124], [0.625, 0.124, 0.625], [0.625, 0.625, 0.625], [0.124, 0.625, 0.625], [0.250, 0.250, 0.250], [0.000, 0.000, 0.000]]}



Record 20
{"formula": "Sm2TmCo2", "functional": "GGA-PBE", "state": "relaxed", "e_form_ev_per_atom": -0.0973, "polymorph_energy_mev_per_atom": 11.9, "total_magnetization_mub_per_cell": 0.0, "n_ef_per_ev_cell": 15.34, "lattice_angstrom": [[7.234, 0.000, 0.000], [0.000, 7.234, 0.000], [0.000, 0.000, 8.497]], "species": ["Sm", "Sm", "Sm", "Sm", "Sm", "Sm", "Sm", "Sm", "Tm", "Tm", "Tm", "Tm", "Co", "Co", "Co", "Co", "Co", "Co", "Co", "Co"], "frac_coords": [[0.676, 0.824, 0.500], [0.324, 0.176, 0.500], [0.824, 0.324, 0.000], [0.176, 0.676, 0.000], [0.824, 0.324, 0.500], [0.176, 0.676, 0.500], [0.324, 0.176, 0.000], [0.676, 0.824, 0.000], [0.500, 0.500, 0.250], [0.000, 0.000, 0.750], [0.500, 0.500, 0.750], [0.000, 0.000, 0.250], [0.389, 0.889, 0.250], [0.611, 0.111, 0.250], [0.111, 0.389, 0.750], [0.889, 0.611, 0.750], [0.889, 0.611, 0.250], [0.111, 0.389, 0.250], [0.389, 0.889, 0.750], [0.611, 0.111, 0.750]]}



Record 21
{"formula": "PtAuF2", "functional": "GGA-PBE", "state": "relaxed", "raw_formation_energy_ev_per_atom": -0.273, "polymorph_energy_mev_per_atom": 361.9, "total_magnetization_mub_per_cell": 0.8, "n_ef_per_ev_cell": 3.31, "lattice_angstrom": [[1.638, 0.000, 8.350], [-0.819, 1.418, 8.350], [-0.819, -1.418, 8.350]], "species": ["Au", "Pt", "F", "F"], "frac_coords": [[0.000, 0.000, 0.000], [0.500, 0.500, 0.500], [0.919, 0.919, 0.919], [0.081, 0.081, 0.081]]}



Record 22
{"formula": "RbMoP3", "functional": "GGA-PBE", "state": "relaxed", "e_form_ev_per_atom": 2.8348, "polymorph_energy_mev_per_atom": 2737.7, "total_magnetization_mub_per_cell": 0.0, "n_ef_per_ev_cell": 10.01, "lattice_angstrom": [[-4.721, -1.481, -0.035], [1.032, -3.370, 3.473], [-1.063, 3.306, 3.525]], "species": ["P", "P", "P", "Mo", "Rb"], "frac_coords": [[0.000, 0.500, 0.000], [0.000, 0.000, 0.500], [0.500, 0.000, 0.000], [0.500, 0.500, 0.500], [0.000, 0.000, 0.000]]}



Record 23
{"formula": "TmCuSn3", "functional": "GGA-PBE", "state": "relaxed", "e_form_ev_per_atom": -0.3114, "total_magnetization_mub_per_cell": 0.0, "n_ef_per_ev_cell": 11.54, "lattice_angstrom": [[6.074, 0.000, 0.000], [0.000, 6.181, 0.000], [0.000, 0.000, 12.326]], "species": ["Tm", "Tm", "Tm", "Tm", "Cu", "Cu", "Cu", "Cu", "Sn", "Sn", "Sn", "Sn", "Sn", "Sn", "Sn", "Sn", "Sn", "Sn", "Sn", "Sn"], "frac_coords": [[0.750, 0.507, 0.697], [0.250, 0.493, 0.303], [0.750, 0.007, 0.303], [0.250, 0.993, 0.697], [0.500, 0.250, 0.120], [0.000, 0.750, 0.880], [0.500, 0.750, 0.880], [0.000, 0.250, 0.120], [0.000, 0.250, 0.499], [0.500, 0.750, 0.501], [0.000, 0.750, 0.501], [0.500, 0.250, 0.499], [0.250, 0.105, 0.945], [0.750, 0.895, 0.055], [0.250, 0.605, 0.055], [0.750, 0.395, 0.945], [0.250, 0.481, 0.757], [0.750, 0.519, 0.243], [0.250, 0.981, 0.243], [0.750, 0.019, 0.757]]}



Record 24
{"formula": "KErGa2Cl6", "functional": "GGA-PBE", "state": "relaxed", "raw_formation_energy_ev_per_atom": -1.604, "total_magnetization_mub_per_cell": 0.0, "n_ef_per_ev_cell": 0.00, "lattice_angstrom": [[-5.737, 4.279, 2.292], [-2.932, -0.984, 6.851], [1.352, 5.479, 5.494]], "species": ["K", "Er", "Ga", "Ga", "Cl", "Cl", "Cl", "Cl", "Cl", "Cl"], "frac_coords": [[0.814, 0.814, 0.559], [0.323, 0.323, 0.031], [0.518, 0.518, 0.446], [0.015, 0.015, 0.956], [0.568, 0.217, 0.238], [0.216, 0.978, 0.238], [0.977, 0.569, 0.238], [0.407, 0.683, 0.770], [0.684, 0.139, 0.771], [0.140, 0.407, 0.770]]}



Record 25
{"formula": "YScBr6", "functional": "GGA-PBE", "state": "relaxed", "raw_formation_energy_ev_per_atom": -1.745, "total_magnetization_mub_per_cell": 0.0, "n_ef_per_ev_cell": 0.00, "lattice_angstrom": [[0.209, -6.183, 2.750], [6.475, -1.984, 0.093], [3.984, 1.728, 6.106]], "species": ["Y", "Sc", "Br", "Br", "Br", "Br", "Br", "Br"], "frac_coords": [[0.500, 0.500, 0.000], [0.000, 0.000, 0.000], [0.762, 0.378, 0.718], [0.762, 0.097, 0.282], [0.238, 0.903, 0.718], [0.238, 0.622, 0.282], [0.756, 0.756, 0.000], [0.244, 0.244, 0.000]]}